4
Lattice="-1.9489 1.9489 4.3952 1.9489 -1.9489 4.3952 1.9489 1.9489 -4.3952" Properties=species:S:1:pos:R:3 comment="Ag2PtW | Alexandria via LeMat-Bulk | PBE | relaxed" sg="I4/mmm, No. 139" total_magnetization_mub_per_cell=0.992 formation_enthalpy_0k_mev_per_atom=538 vol_a3_per_cell=67 pbc="T T T"
Ag 1.9489 0.0000 2.1976
Ag 0.0000 1.9489 2.1976
Pt 0.0000 0.0000 0.0000
W 0.0000 0.0000 4.3952